Entry 1:
A relaxed Ge19P4Cl4 crystal. Source: the Alexandria database, functional GGA-PBEsol.

abc: 10.336 10.336 10.336
angles: 90.00 90.00 90.00
Sites, in units of the cell vectors:
Ge: 0.315 0.315 0.315
Ge: 0.685 0.685 0.315
Ge: 0.685 0.315 0.685
Ge: 0.815 0.815 0.815
Ge: 0.315 0.685 0.685
Ge: 0.185 0.185 0.815
Ge: 0.815 0.185 0.185
Ge: 0.185 0.815 0.185
Ge: 0.002 0.118 0.308
Ge: 0.998 0.882 0.308
Ge: 0.998 0.118 0.692
Ge: 0.308 0.002 0.118
Ge: 0.618 0.502 0.808
Ge: 0.002 0.882 0.692
Ge: 0.308 0.998 0.882
Ge: 0.382 0.498 0.808
Ge: 0.692 0.998 0.118
Ge: 0.618 0.498 0.192
Ge: 0.692 0.002 0.882
Ge: 0.382 0.502 0.192
Ge: 0.118 0.308 0.002
Ge: 0.502 0.808 0.618
Ge: 0.118 0.692 0.998
Ge: 0.498 0.192 0.618
Ge: 0.882 0.692 0.002
Ge: 0.502 0.192 0.382
Ge: 0.882 0.308 0.998
Ge: 0.498 0.808 0.382
Ge: 0.808 0.618 0.502
Ge: 0.808 0.382 0.498
Ge: 0.192 0.382 0.502
Ge: 0.192 0.618 0.498
Ge: 0.250 0.500 0.000
Ge: 0.750 0.500 0.000
Ge: 0.000 0.250 0.500
Ge: 0.000 0.750 0.500
Ge: 0.500 0.000 0.250
Ge: 0.500 0.000 0.750
P: 0.184 0.184 0.184
P: 0.816 0.816 0.184
P: 0.816 0.184 0.816
P: 0.684 0.684 0.684
P: 0.184 0.816 0.816
P: 0.316 0.316 0.684
P: 0.684 0.316 0.316
P: 0.316 0.684 0.316
Cl: 0.250 0.000 0.500
Cl: 0.750 0.000 0.500
Cl: 0.500 0.250 0.000
Cl: 0.500 0.750 0.000
Cl: 0.000 0.500 0.250
Cl: 0.000 0.500 0.750
Cl: 0.000 0.000 0.000
Cl: 0.500 0.500 0.500

* calculated total energy: -4.86 eV/atom
* SG: P-43n, No. 218
* formation energy (no corrections): -229 meV per atom

***

Entry 2:
A relaxed ThBe13 crystal. Source: the Alexandria database, functional GGA-PBEsol.

abc: 7.281 7.281 7.281
angles: 60.00 60.00 60.00
Sites, in units of the cell vectors:
Th: 0.250 0.250 0.250
Th: 0.750 0.750 0.750
Be: 0.000 0.000 0.000
Be: 0.500 0.500 0.500
Be: 0.711 0.062 0.289
Be: 0.211 0.562 0.438
Be: 0.562 0.211 0.789
Be: 0.562 0.789 0.438
Be: 0.438 0.211 0.562
Be: 0.211 0.789 0.562
Be: 0.438 0.562 0.789
Be: 0.711 0.289 0.938
Be: 0.711 0.938 0.062
Be: 0.062 0.289 0.711
Be: 0.289 0.711 0.062
Be: 0.938 0.062 0.711
Be: 0.289 0.062 0.938
Be: 0.062 0.938 0.289
Be: 0.938 0.711 0.289
Be: 0.211 0.438 0.789
Be: 0.438 0.789 0.211
Be: 0.562 0.438 0.211
Be: 0.789 0.211 0.438
Be: 0.789 0.438 0.562
Be: 0.789 0.562 0.211
Be: 0.062 0.711 0.938
Be: 0.289 0.938 0.711
Be: 0.938 0.289 0.062

* calculated total energy: -4.45 eV/atom
* SG: Fm-3c, No. 226